# Al3IBr

Al3IBr after structural relaxation (PBE-GGA, Alexandria).

a = 5.726 Å, b = 5.726 Å, c = 5.726 Å
α = 90.00°, β = 90.00°, γ = 90.00°
Positions (direct):
1 Al 0.000 0.000 0.500
2 Al 0.000 0.500 0.000
3 Al 0.500 0.000 0.000
4 I 0.500 0.500 0.500
5 Br 0.000 0.000 0.000

- ΔE to the lowest computed polymorph (meV per atom) = 0
- mass density (g cm⁻³) = 2.55